No. 1
The following is a PBE calculation of a geometry-optimized La2SmRh structure, from Alexandria.

```
La2SmRh
1.0
3.6697 0.0000 0.0000
0.0000 3.6697 0.0000
0.0000 0.0000 8.8275
La Sm Rh
2 1 1
Direct
0.0000 0.0000 0.1905 La
0.0000 0.0000 0.8095 La
0.5000 0.5000 0.5000 Sm
0.5000 0.5000 0.0000 Rh
```

Results
SG = P4/mmm, No. 123
calculated total energy = -5.774 eV per atom
E above lowest polymorph = 155 meV per atom
formation enthalpy at 0 K = -0.292 eV per atom

No. 2
The following is a PBE calculation of a geometry-optimized Cu3Se2 structure, from Alexandria.

```
Cu3Se2
1.0
1.8548 1.0708 6.9218
-1.8548 1.0708 6.9218
0.0000 -2.1417 6.9218
Cu Se
3 2
Direct
0.0000 0.0000 0.0000 Cu
0.2012 0.2012 0.2012 Cu
0.7988 0.7988 0.7988 Cu
0.4069 0.4069 0.4069 Se
0.5931 0.5931 0.5931 Se
```

Results
SG = R-3m, No. 166
calculated total energy = -3.816 eV per atom
E_form (uncorrected) = 0.824 kcal/mol of atoms

No. 3
The following is a PBE calculation of a geometry-optimized SbAsH3 structure, from Alexandria.

```
SbAsH3
1.0
3.8435 0.0000 0.0000
0.0000 3.8435 0.0000
0.0000 0.0000 3.8435
Sb As H
1 1 3
Direct
0.0000 0.0000 0.0000 Sb
0.5000 0.5000 0.5000 As
0.0000 0.5000 0.5000 H
0.5000 0.0000 0.5000 H
0.5000 0.5000 0.0000 H
```

Results
SG = Pm-3m, No. 221
calculated total energy = -3.036 eV per atom
E above lowest polymorph = 0 meV per atom

No. 4
The following is a PBE calculation of a geometry-optimized LaUClO4 structure, from Alexandria.

```
LaUClO4
1.0
6.1352 -3.6123 0.0000
6.1352 3.6123 0.0000
-0.1709 0.0000 6.5507
La U Cl O
2 2 2 8
Direct
0.1885 0.1885 0.4357 La
0.8115 0.8115 0.5643 La
0.3686 0.3686 0.8917 U
0.6314 0.6314 0.1083 U
0.0302 0.0302 0.7522 Cl
0.9698 0.9698 0.2478 Cl
0.1223 0.4880 0.6769 O
0.2476 0.2476 0.0638 O
0.4798 0.4798 0.1913 O
0.4880 0.1223 0.6769 O
0.5120 0.8777 0.3231 O
0.5202 0.5202 0.8087 O
0.7524 0.7524 0.9362 O
0.8777 0.5120 0.3231 O
```

Results
SG = C2/m, No. 12
calculated total energy = -8.357 eV per atom
E_form (uncorrected) = -67.887 kcal/mol of atoms

No. 5
The following is a PBE calculation of a geometry-optimized DyTlBr structure, from Alexandria.

```
DyTlBr
1.0
5.8277 -1.9337 0.0000
5.8277 1.9337 0.0000
-5.3515 0.0000 7.9988
Dy Tl Br
2 2 2
Direct
0.1336 0.1336 0.2310 Dy
0.8664 0.8664 0.7690 Dy
0.3763 0.3763 0.0921 Tl
0.6237 0.6237 0.9079 Tl
0.1601 0.1601 0.5595 Br
0.8399 0.8399 0.4405 Br
```

Results
SG = C2/m, No. 12
calculated total energy = -3.642 eV per atom
E above lowest polymorph = 130 meV per atom
E_form (uncorrected) = -17.559 kcal/mol of atoms

No. 6
The following is a PBE calculation of a geometry-optimized HfTcSe3 structure, from Alexandria.

```
HfTcSe3
1.0
5.1488 0.0000 0.0000
0.0000 5.1488 0.0000
0.0000 0.0000 5.1488
Hf Tc Se
1 1 3
Direct
0.0000 0.0000 0.0000 Hf
0.5000 0.5000 0.5000 Tc
0.0000 0.0000 0.5000 Se
0.0000 0.5000 0.0000 Se
0.5000 0.0000 0.0000 Se
```

Results
SG = Pm-3m, No. 221
calculated total energy = -5.911 eV per atom
E above lowest polymorph = 0 meV per atom
E_form (uncorrected) = 5.617 kcal/mol of atoms